# PmFe2Ge5

An optimized crystal structure of PmFe2Ge5 (PBE, Alexandria).

Cell: 3.936 6.716 10.482 Å, 90.00 90.00 90.00°
Space group Immm (No. 71)
Symmetry-distinct sites (fractional):
Pm: 0.000 0.000 0.000 [2 per cell]
Fe: 0.000 0.500 0.209 [4 per cell]
Ge: 0.000 0.213 0.343 [8 per cell]
Ge: 0.000 0.500 0.000 [2 per cell]

Output
For the energy, the calculation gives -5.780 eV/atom. The mass density is 7.43 g cm⁻³.